[1]
Density functional theory data (PBE-GGA) for a relaxed LiReAs2Br crystal.

Results
ΔE_f (raw) ... 0.75 eV/f.u.
Density of states at the Fermi level ... 2.15 states/eV/f.u.
Symmetry ... P4/mmm
Volume ... 129.5 Å³/f.u.
Magnetic moment ... 0.00 μB/f.u.

Cell lengths 4.7316, 4.7316, 5.7859 Å; angles 90.00, 90.00, 90.00 degrees
With the nearest neighbours (Å) after each atom.
Fractional coordinates of all 5 atoms:
Li  0.5000  0.5000  0.5000  4 Br 3.35, 8 As 3.74
Re  0.0000  0.0000  0.0000  4 As 2.37
Br  0.0000  0.0000  0.5000  2 Re 2.89
As  0.0000  0.5000  0.0000  2 Re 2.37
As  0.5000  0.0000  0.0000  2 Re 2.37


[2]
Density functional theory data (PBE-GGA) for a relaxed LaTb5Tl6 crystal.

Results
Density of states at the Fermi level ... 10.06 states/eV/f.u.
Symmetry ... C2/m
ΔH_f (0 K) ... -0.3614 eV/atom
Volume ... 339.1 Å³/f.u.
Magnetic moment ... 0.00 μB/f.u.

Cell lengths 5.4279, 9.4162, 9.4162 Å; angles 120.13, 106.82, 106.82 degrees
With the nearest neighbours (Å) after each atom.
Fractional coordinates of all 12 atoms:
Tb  0.5000  0.5000  0.5000  8 Tl 3.26-3.35
Tb  0.5000  0.1627  0.8373  8 Tl 3.30-3.36
Tb  0.5000  0.8373  0.1627  8 Tl 3.30-3.36
Tb  0.0000  0.6681  0.3319  8 Tl 3.28-3.30
Tb  0.0000  0.3319  0.6681  8 Tl 3.28-3.30
Tl  0.2556  0.0855  0.4264  7 Tb 3.28-3.36, 1 La 3.40
Tl  0.2370  0.7372  0.7372  6 Tb 3.26-3.33, 2 La 3.37-3.38, 1 Tl 3.63
Tl  0.7444  0.9145  0.5736  7 Tb 3.28-3.36, 1 La 3.40
Tl  0.7630  0.2628  0.2628  6 Tb 3.26-3.33, 2 La 3.37-3.38, 1 Tl 3.63
Tl  0.2556  0.4264  0.0855  7 Tb 3.28-3.36, 1 La 3.40
Tl  0.7444  0.5736  0.9145  7 Tb 3.28-3.36, 1 La 3.40
La  0.0000  0.0000  0.0000  8 Tl 3.37-3.40


[3]
Density functional theory data (PBE-GGA) for a relaxed NaCe2CdSe4 crystal.

Results
ΔE_f (raw) ... -10.65 eV/f.u.
Density of states at the Fermi level ... 15.35 states/eV/f.u.
Symmetry ... P2/m
Volume ... 225.0 Å³/f.u.
Magnetic moment ... 2.44 μB/f.u.

Cell lengths 4.2912, 7.5126, 7.3953 Å; angles 70.70, 90.00, 90.00 degrees
With the nearest neighbours (Å) after each atom.
Fractional coordinates of all 8 atoms:
Se  0.0000  0.2333  0.2545  3 Ce 2.97-2.98, 2 Cd 3.11, 1 Na 3.12
Se  0.5000  0.2353  0.7564  3 Ce 2.98-2.99, 1 Cd 3.09, 2 Na 3.11
Se  0.0000  0.7667  0.7455  3 Ce 2.97-2.98, 2 Cd 3.11, 1 Na 3.12
Se  0.5000  0.7647  0.2436  3 Ce 2.98-2.99, 1 Cd 3.09, 2 Na 3.11
Ce  0.5000  0.0000  0.5000  6 Se 2.98-2.99
Ce  0.0000  0.0000  0.0000  6 Se 2.97-2.98
Na  0.0000  0.5000  0.5000  6 Se 3.11-3.12
Cd  0.5000  0.5000  0.0000  6 Se 3.09-3.11